1.
This record from Alexandria via LeMat-Bulk describes a geometry-optimized KHfPd3 structure. The functional is PBE-GGA.

Results
DFT formation energy = 0.224 eV per atom
Total DFT energy (no corrections) = -25.509 eV/f.u.
Space-group type = Pm-3m (221)

Lattice parameters (Å, degrees): 5.0447 5.0447 5.0447 90.00 90.00 90.00
With the nearest neighbours (Å) after each atom.
Element x y z (fractional)
K (0.5000, 0.5000, 0.5000)  12 Pd 3.57
Pd (0.0000, 0.5000, 0.0000)  2 Hf 2.52
Pd (0.0000, 0.0000, 0.5000)  2 Hf 2.52
Hf (0.0000, 0.0000, 0.0000)  6 Pd 2.52
Pd (0.5000, 0.0000, 0.0000)  2 Hf 2.52

***

2.
This record from Alexandria via LeMat-Bulk describes a geometry-optimized KHfPd3 structure. The functional is PBE-GGA.

Results
DFT formation energy = 1.345 eV per atom
Total DFT energy (no corrections) = -19.906 eV/f.u.
Space-group type = Pm-3m (221)

Lattice parameters (Å, degrees): 4.8321 4.8321 4.8321 90.00 90.00 90.00
With the nearest neighbours (Å) after each atom.
Element x y z (fractional)
Pd (0.0000, 0.0000, 0.5000)  2 K 2.42
Hf (0.5000, 0.5000, 0.5000)  12 Pd 3.42
Pd (0.0000, 0.5000, 0.0000)  2 K 2.42
Pd (0.5000, 0.0000, 0.0000)  2 K 2.42
K (0.0000, 0.0000, 0.0000)  6 Pd 2.42

***

3.
This record from Alexandria via LeMat-Bulk describes a geometry-optimized K2HfPd structure. The functional is PBE-GGA.

Results
DFT formation energy = 0.732 eV per atom
Total DFT energy (no corrections) = -14.412 eV/f.u.
Space-group type = I-42d (122)

Lattice parameters (Å, degrees): 12.0474 12.0474 8.8738 47.25 47.25 90.00
With the nearest neighbours (Å) after each atom.
Element x y z (fractional)
K (0.8750, 0.7333, 0.7500)  2 Pd 3.34
K (0.4833, 0.1250, 0.2500)  2 Pd 3.34
Hf (0.7500, 0.2500, 0.5000)  2 Pd 2.48
Hf (0.0000, 0.0000, 0.0000)  2 Pd 2.48
Pd (0.2500, 0.7500, 0.5000)  2 Hf 2.48
Pd (0.5000, 0.5000, 0.0000)  2 Hf 2.48
K (0.2667, 0.6250, 0.2500)  2 Pd 3.34
K (0.3750, 0.5167, 0.7500)  2 Pd 3.34

***

4.
This record from Alexandria via LeMat-Bulk describes a geometry-optimized K2HfPd structure. The functional is PBE-GGA.

Results
DFT formation energy = 1.256 eV per atom
Total DFT energy (no corrections) = -12.317 eV/f.u.
Space-group type = Fm-3m (225)

Lattice parameters (Å, degrees): 5.6205 5.6205 5.6205 60.00 60.00 60.00
With the nearest neighbours (Å) after each atom.
Element x y z (fractional)
Pd (0.0000, 0.0000, 0.0000)  8 K 3.44
K (0.2500, 0.2500, 0.2500)  4 Hf 3.44, 4 Pd 3.44
Hf (0.5000, 0.5000, 0.5000)  8 K 3.44
K (0.7500, 0.7500, 0.7500)  4 Hf 3.44, 4 Pd 3.44

***

5.
This record from Alexandria via LeMat-Bulk describes a geometry-optimized K2Hf2PdS6 structure. The functional is PBE-GGA.

Results
E_form (uncorrected) = -1.247 eV/atom
Total DFT energy (no corrections) = -65.777 eV/f.u.
Space-group type = C2/m (12)

Lattice parameters (Å, degrees): 6.4358 6.4358 7.8150 97.14 97.14 120.41
With the nearest neighbours (Å) after each atom.
Element x y z (fractional)
S (0.2652, 0.2652, 0.3287)  1 Pd 2.41, 2 Hf 2.62
Hf (0.3250, 0.6750, 0.5000)  6 S 2.51-2.62
K (0.1574, 0.8426, 0.0000)  6 S 3.14-3.22, 1 K 3.52
S (0.5811, 0.9269, 0.3017)  2 Hf 2.51-2.56, 1 Pd 2.72
S (0.9269, 0.5811, 0.3017)  2 Hf 2.51-2.56, 1 Pd 2.72
S (0.0731, 0.4189, 0.6983)  2 Hf 2.51-2.56, 1 Pd 2.72
S (0.7348, 0.7348, 0.6713)  1 Pd 2.41, 2 Hf 2.62
Pd (0.0000, 0.0000, 0.5000)  2 S 2.41
K (0.8426, 0.1574, 0.0000)  6 S 3.14-3.22, 1 K 3.52
S (0.4189, 0.0731, 0.6983)  2 Hf 2.51-2.56, 1 Pd 2.72
Hf (0.6750, 0.3250, 0.5000)  6 S 2.51-2.62

***

6.
This record from Alexandria via LeMat-Bulk describes a geometry-optimized KHfSb2Pd structure. The functional is PBE-GGA.

Results
E_form (uncorrected) = 1.394 eV/atom
Total DFT energy (no corrections) = -17.518 eV/f.u.
Space-group type = P4/mmm (123)

Lattice parameters (Å, degrees): 5.6099 4.6551 5.6099 90.00 90.00 90.00
With the nearest neighbours (Å) after each atom.
Element x y z (fractional)
Sb (0.0000, 0.0000, 0.5000)  2 K 2.80
Hf (0.5000, 0.5000, 0.5000)  8 Sb 3.64, 4 Pd 3.97
Sb (0.5000, 0.0000, 0.0000)  2 K 2.80
Pd (0.0000, 0.5000, 0.0000)  2 K 2.33
K (0.0000, 0.0000, 0.0000)  2 Pd 2.33

***

7.
This record from Alexandria via LeMat-Bulk describes a geometry-optimized KHfScPd2 structure. The functional is PBE-GGA.

Results
DFT formation energy = 0.446 eV per atom
Total DFT energy (no corrections) = -25.538 eV/f.u.
Space-group type = P4/mmm (123)

Lattice parameters (Å, degrees): 5.0527 5.3650 5.0527 90.00 90.00 90.00
With the nearest neighbours (Å) after each atom.
Element x y z (fractional)
Pd (0.5000, 0.0000, 0.0000)  2 Hf 2.53
Hf (0.0000, 0.0000, 0.0000)  4 Pd 2.53, 2 Sc 2.68
K (0.5000, 0.5000, 0.5000)  4 Sc 3.57, 8 Pd 3.68
Sc (0.0000, 0.5000, 0.0000)  2 Hf 2.68
Pd (0.0000, 0.0000, 0.5000)  2 Hf 2.53

***

8.
This record from Alexandria via LeMat-Bulk describes a geometry-optimized K2Hf2PdSe6 structure. The functional is PBE-GGA.

Results
E_form (uncorrected) = -1.103 eV/atom
Total DFT energy (no corrections) = -60.333 eV/f.u.
Space-group type = C2/m (12)

Lattice parameters (Å, degrees): 6.6978 6.6978 8.1628 97.35 97.35 120.18
With the nearest neighbours (Å) after each atom.
Element x y z (fractional)
Se (0.0777, 0.4146, 0.7003)  2 Hf 2.64-2.69, 1 Pd 2.80
Hf (0.6763, 0.3237, 0.5000)  6 Se 2.64-2.75
Se (0.9223, 0.5854, 0.2997)  2 Hf 2.64-2.69, 1 Pd 2.80
K (0.1591, 0.8409, 0.0000)  6 Se 3.28-3.34
Se (0.5854, 0.9223, 0.2997)  2 Hf 2.64-2.69, 1 Pd 2.80
Pd (0.0000, 0.0000, 0.5000)  6 Se 2.56-2.80
K (0.8409, 0.1591, 0.0000)  6 Se 3.28-3.34
Se (0.2657, 0.2657, 0.3237)  1 Pd 2.56, 2 Hf 2.75
Se (0.4146, 0.0777, 0.7003)  2 Hf 2.64-2.69, 1 Pd 2.80
Se (0.7343, 0.7343, 0.6763)  1 Pd 2.56, 2 Hf 2.75
Hf (0.3237, 0.6763, 0.5000)  6 Se 2.64-2.75